[1]
This record from the Alexandria database describes a crystal of InP2PdRu relaxed with PBEsol. The functional is meta-GGA SCAN.

a b c (Å): 4.7837 4.7837 4.8707
angles (deg): 90.00 90.00 90.00
Positions (direct):
1 In 0.0000 0.0000 0.0000
2 P 0.0000 0.5000 0.0000
3 P 0.5000 0.0000 0.0000
4 Pd 0.5000 0.5000 0.5000
5 Ru 0.0000 0.0000 0.5000

Summary:
ΔE_f ... 1804 meV/atom

=====

[2]
This record from the Alexandria database describes a crystal of InPPdS2 relaxed with PBEsol. The functional is meta-GGA SCAN.

a b c (Å): 4.8584 4.8584 4.9436
angles (deg): 90.00 90.00 90.00
Positions (direct):
1 In 0.0000 0.0000 0.0000
2 P 0.0000 0.0000 0.5000
3 Pd 0.5000 0.5000 0.5000
4 S 0.0000 0.5000 0.0000
5 S 0.5000 0.0000 0.0000

Summary:
Energy relative to the elements, uncorrected ... 1.056 eV per atom

=====

[3]
This record from the Alexandria database describes a crystal of InPPt5 relaxed with PBEsol. The functional is meta-GGA SCAN.

a b c (Å): 3.9429 3.9429 6.9676
angles (deg): 90.00 90.00 90.00
Positions (direct):
1 In 0.0000 0.0000 0.0000
2 P 0.5000 0.5000 0.5000
3 Pt 0.0000 0.5000 0.2974
4 Pt 0.0000 0.5000 0.7026
5 Pt 0.5000 0.0000 0.2974
6 Pt 0.5000 0.0000 0.7026
7 Pt 0.5000 0.5000 0.0000

Summary:
ΔE_f ... -492 meV/atom

=====

[4]
This record from the Alexandria database describes a crystal of In2PPt relaxed with PBEsol. The functional is meta-GGA SCAN.

a b c (Å): 4.7180 4.7180 4.7180
angles (deg): 60.00 60.00 60.00
Positions (direct):
1 In 0.2500 0.2500 0.2500
2 In 0.7500 0.7500 0.7500
3 P 0.0000 0.0000 0.0000
4 Pt 0.5000 0.5000 0.5000

Summary:
ΔE_f ... 185 meV/atom

=====

[5]
This record from the Alexandria database describes a crystal of In2PPt relaxed with PBEsol. The functional is meta-GGA SCAN.

a b c (Å): 6.5697 6.5697 6.5697
angles (deg): 35.36 35.36 35.36
Positions (direct):
1 In 0.0000 0.0000 0.0000
2 In 0.2160 0.2160 0.2160
3 P 0.4486 0.4486 0.4486
4 Pt 0.7588 0.7588 0.7588

Summary:
ΔE_f ... -253 meV/atom

=====

[6]
This record from the Alexandria database describes a crystal of In2PPt relaxed with PBEsol. The functional is meta-GGA SCAN.

a b c (Å): 3.1826 3.1826 7.9337
angles (deg): 90.00 90.00 90.00
Positions (direct):
1 In 0.0000 0.0000 0.0000
2 In 0.5000 0.5000 0.3253
3 P 0.0000 0.0000 0.6114
4 Pt 0.5000 0.5000 0.7323

Summary:
ΔE_f ... -57 meV/atom

=====

[7]
This record from the Alexandria database describes a crystal of In2PPt relaxed with PBEsol. The functional is meta-GGA SCAN.

a b c (Å): 5.1699 5.1699 5.8696
angles (deg): 116.55 116.55 35.89
Positions (direct):
1 In 0.0000 0.0000 0.0000
2 In 0.1547 0.1547 0.6255
3 P 0.8081 0.8081 0.2124
4 Pt 0.4041 0.4041 0.5468

Summary:
ΔE_f ... -178 meV/atom

=====

[8]
This record from the Alexandria database describes a crystal of In2ReP relaxed with PBEsol. The functional is meta-GGA SCAN.

a b c (Å): 2.9495 2.9495 8.2789
angles (deg): 90.00 90.00 90.00
Positions (direct):
1 In 0.0000 0.0000 0.2372
2 In 0.0000 0.0000 0.7628
3 Re 0.5000 0.5000 0.0000
4 P 0.5000 0.5000 0.5000

Summary:
ΔE_f ... 755 meV/atom

=====

[9]
This record from the Alexandria database describes a crystal of In2ReP relaxed with PBEsol. The functional is meta-GGA SCAN.

a b c (Å): 3.0374 3.0374 8.1538
angles (deg): 90.00 90.00 90.00
Positions (direct):
1 In 0.0000 0.0000 0.0000
2 In 0.5000 0.5000 0.3366
3 Re 0.5000 0.5000 0.7496
4 P 0.0000 0.0000 0.6128

Summary:
ΔE_f ... 112 meV/atom

=====

[10]
This record from the Alexandria database describes a crystal of InP2Rh relaxed with PBEsol. The functional is meta-GGA SCAN.

a b c (Å): 4.4038 4.4038 3.3985
angles (deg): 90.00 90.00 106.07
Positions (direct):
1 In 0.0000 0.0000 0.0000
2 P 0.0000 0.5000 0.5000
3 P 0.5000 0.0000 0.5000
4 Rh 0.5000 0.5000 0.0000

Summary:
ΔE_f ... 289 meV/atom

=====

[11]
This record from the Alexandria database describes a crystal of InP2Rh relaxed with PBEsol. The functional is meta-GGA SCAN.

a b c (Å): 3.7994 3.2795 5.8348
angles (deg): 90.00 108.40 90.00
Positions (direct):
1 In 0.0000 0.0000 0.0000
2 P 0.3951 0.0000 0.4676
3 P 0.7866 0.5000 0.4784
4 Rh 0.3848 0.5000 0.7600

Summary:
ΔE_f ... -196 meV/atom

=====

[12]
This record from the Alexandria database describes a crystal of InP2Rh relaxed with PBEsol. The functional is meta-GGA SCAN.

a b c (Å): 4.4866 4.4866 4.4866
angles (deg): 60.00 60.00 60.00
Positions (direct):
1 In 0.0000 0.0000 0.0000
2 P 0.2500 0.2500 0.2500
3 P 0.5000 0.5000 0.5000
4 Rh 0.7500 0.7500 0.7500

Summary:
ΔE_f ... 500 meV/atom

=====

[13]
This record from the Alexandria database describes a crystal of InP2Rh relaxed with PBEsol. The functional is meta-GGA SCAN.

a b c (Å): 3.7623 3.7623 4.5193
angles (deg): 90.00 90.00 90.00
Positions (direct):
1 In 0.0000 0.0000 0.0000
2 P 0.0000 0.5000 0.5000
3 P 0.5000 0.0000 0.5000
4 Rh 0.5000 0.5000 0.0000

Summary:
ΔE_f ... 380 meV/atom

=====

[14]
This record from the Alexandria database describes a crystal of InPRh relaxed with PBEsol. The functional is meta-GGA SCAN.

a b c (Å): 6.1300 6.1300 6.1300
angles (deg): 152.26 152.13 39.73
Positions (direct):
1 In 0.0000 0.0000 0.0000
2 P 0.2908 0.2908 0.0000
3 Rh 0.6854 0.6854 0.0000

Summary:
ΔE_f ... -173 meV/atom

=====

[15]
This record from the Alexandria database describes a crystal of InPRh relaxed with PBEsol. The functional is meta-GGA SCAN.

a b c (Å): 4.1993 4.1993 4.1993
angles (deg): 60.00 60.00 60.00
Positions (direct):
1 In 0.0000 0.0000 0.0000
2 P 0.2500 0.2500 0.2500
3 Rh 0.5000 0.5000 0.5000

Summary:
ΔE_f ... 107 meV/atom

=====

[16]
This record from the Alexandria database describes a crystal of InSbP2Rh relaxed with PBEsol. The functional is meta-GGA SCAN.

a b c (Å): 4.4684 4.4684 5.3785
angles (deg): 90.00 90.00 90.00
Positions (direct):
1 In 0.0000 0.0000 0.0000
2 Sb 0.5000 0.5000 0.0000
3 P 0.0000 0.5000 0.5000
4 P 0.5000 0.0000 0.5000
5 Rh 0.0000 0.0000 0.5000

Summary:
Energy relative to the elements, uncorrected ... 0.360 eV per atom

=====

[17]
This record from the Alexandria database describes a crystal of In2PRu relaxed with PBEsol. The functional is meta-GGA SCAN.

a b c (Å): 6.2613 6.2613 6.2613
angles (deg): 152.52 137.88 51.02
Positions (direct):
1 In 0.0000 0.0000 0.0000
2 In 0.6967 0.1967 0.5000
3 P 0.3132 0.8132 0.5000
4 Ru 0.4710 0.4710 0.0000

Summary:
ΔE_f ... -22 meV/atom

=====

[18]
This record from the Alexandria database describes a crystal of InPRu relaxed with PBEsol. The functional is meta-GGA SCAN.

a b c (Å): 6.0600 6.0600 6.0600
angles (deg): 152.04 152.04 39.95
Positions (direct):
1 In 0.0000 0.0000 0.0000
2 P 0.2874 0.2874 0.0000
3 Ru 0.6827 0.6827 0.0000

Summary:
ΔE_f ... -147 meV/atom

=====

[19]
This record from the Alexandria database describes a crystal of Tl2InPRu relaxed with PBEsol. The functional is meta-GGA SCAN.

a b c (Å): 5.1436 5.1436 5.0655
angles (deg): 90.00 90.00 90.00
Positions (direct):
1 Tl 0.0000 0.5000 0.0000
2 Tl 0.5000 0.0000 0.0000
3 In 0.0000 0.0000 0.5000
4 P 0.5000 0.5000 0.5000
5 Ru 0.0000 0.0000 0.0000

Summary:
ΔE_f ... 642 meV/atom

=====

[20]
This record from the Alexandria database describes a crystal of InSiP2S relaxed with PBEsol. The functional is meta-GGA SCAN.

a b c (Å): 4.5638 4.5638 4.4890
angles (deg): 90.00 90.00 90.00
Positions (direct):
1 In 0.0000 0.0000 0.0000
2 Si 0.5000 0.5000 0.5000
3 P 0.0000 0.5000 0.5000
4 P 0.5000 0.0000 0.5000
5 S 0.5000 0.5000 0.0000

Summary:
Energy relative to the elements, uncorrected ... 0.465 eV per atom

=====

The calculation returns the following raw total energy values, one per record and in order: -112.8; -90.5; -398.2; -146.6; -148.4; -147.6; -148.1; -145.3; -147.8; -86.8; -88.7; -86.0; -86.4; -78.1; -77.2; -123.4; -112.1; -79.1; -220.1; -71.5 eV/cell.
The calculation returns the following N(E_F) values, one per record and in order: 4.20; 5.51; 1.37; 2.82; 1.56; 1.54; 1.19; 2.68; 2.56; 1.58; 0.78; 2.90; 1.56; 1.84; 2.18; 3.42; 2.10; 0.87; 3.42; 4.01 states/eV/cell.